FeCuO2: optimized geometry, PBE+U.

The density of states at the Fermi level is 4.9 states/eV per cell. As for the total magnetic moment: 11.99 μB/cell. Its total energy is -5.813 eV per atom.

The structure belongs to space group C2/c (No. 15); the cell edges are 11.785, 3.099 and 5.357 Å and the angles 90.00°, 110.37° and 90.00°. The inequivalent atoms are Fe at (0.250, 0.250, 0.000), Cu at (0.000, 0.000, 0.000) and O at (0.155, 0.212, 0.603).